Entry 1:
Compound: TaAl2Se
Source: Alexandria via LeMat-Bulk
Functional: GGA-PBE
Structure: optimized geometry

E_tot (eV per cell): -46.32
Spin magnetization (μB/cell): 0.00

Unit cell a=9.4144 b=3.1061 c=4.8790 alpha=90.00 beta=96.22 gamma=90.00
Space group Cm (No. 8)
Inequivalent atoms, fractional coordinates:
Ta 0.0000 0.0000 0.0000 x2
Al 0.2387 0.5000 0.2378 x2
Al 0.4887 0.0000 0.4821 x2
Se 0.2806 0.0000 0.7972 x2



Entry 2:
Compound: BeW
Source: Alexandria via LeMat-Bulk
Functional: GGA-PBE
Structure: optimized geometry

E_tot (eV per cell): -97.64
Energy relative to the lowest polymorph listed for this composition (eV/atom): 0.431
E_form (kJ/mol of formula units): 39
Spin magnetization (μB/cell): 0.00

Unit cell a=3.2269 b=3.2269 c=16.0007 alpha=90.00 beta=90.00 gamma=120.00
Space group R-3m (No. 166, hexagonal axes)
Inequivalent atoms, fractional coordinates:
Be 0.0000 0.0000 0.1629 x6
W 0.0000 0.0000 0.3970 x6